1.
A relaxed SnAuSe crystal, computed with PBE.

Lattice parameters (Å, degrees): 5.066 4.001 4.001 120.00 90.00 90.00
Positions (direct):
Se 0.684 0.333 0.667
Sn 0.317 0.667 0.333
Au 0.000 0.000 0.000

Calculated values
Crystal system: trigonal
Uncorrected energy (Ha/atom): -0.1398



2.
A relaxed Sn3AuSe2 crystal, computed with PBE.

Lattice parameters (Å, degrees): 4.183 4.183 9.348 102.92 102.92 90.05
Positions (direct):
Se 0.107 0.108 0.219
Se 0.762 0.763 0.529
Sn 0.274 0.275 0.553
Sn 0.934 0.936 0.874
Sn 0.594 0.596 0.194
Au 0.434 0.436 0.874

Calculated values
Crystal system: tetragonal
Uncorrected energy (Ha/atom): -0.1484



3.
A relaxed Sn2AuSe crystal, computed with PBE.

Lattice parameters (Å, degrees): 6.507 6.507 7.670 64.90 64.90 90.00
Positions (direct):
Sn 0.875 0.892 0.750
Sn 0.375 0.358 0.750
Sn 0.642 0.125 0.250
Sn 0.108 0.625 0.250
Se 0.500 0.500 0.000
Se 0.250 0.750 0.500
Au 0.000 0.000 0.000
Au 0.750 0.250 0.500

Calculated values
Crystal system: tetragonal
Uncorrected energy (Ha/atom): -0.1406



4.
A relaxed Sn2AuSe2 crystal, computed with PBE.

Lattice parameters (Å, degrees): 7.947 7.947 4.038 90.00 90.00 90.00
Positions (direct):
Se 0.174 0.326 0.000
Se 0.674 0.174 0.000
Se 0.326 0.826 0.000
Se 0.826 0.674 0.000
Au 0.500 0.500 0.000
Au 0.000 0.000 0.000
Sn 0.654 0.846 0.500
Sn 0.154 0.654 0.500
Sn 0.346 0.154 0.500
Sn 0.846 0.346 0.500

Calculated values
Excess energy over the best structure of this formula in the dataset (meV/atom): 101
Crystal system: tetragonal
Uncorrected energy (Ha/atom): -0.1356



5.
A relaxed Sn2AuSe crystal, computed with PBE.

Lattice parameters (Å, degrees): 3.913 3.913 7.942 75.74 75.74 60.00
Positions (direct):
Se 0.496 0.496 0.511
Sn 0.081 0.081 0.758
Sn 0.256 0.256 0.233
Au 0.668 0.668 0.997

Calculated values
Crystal system: trigonal
Uncorrected energy (Ha/atom): -0.1433



6.
A relaxed Sn3AuSe3 crystal, computed with PBE.

Lattice parameters (Å, degrees): 6.384 10.689 12.370 90.00 90.00 107.37
Positions (direct):
Au 0.600 0.199 0.500
Au 0.100 0.199 0.000
Au 0.400 0.801 0.500
Au 0.900 0.801 0.000
Se 0.146 0.626 0.868
Se 0.574 0.000 0.839
Se 0.646 0.626 0.632
Se 0.926 0.000 0.339
Se 0.980 0.626 0.368
Se 0.480 0.626 0.132
Se 0.354 0.374 0.368
Se 0.854 0.374 0.132
Se 0.020 0.374 0.632
Se 0.074 0.000 0.661
Se 0.520 0.374 0.868
Se 0.426 0.000 0.161
Sn 0.910 0.355 0.357
Sn 0.055 0.645 0.143
Sn 0.842 0.000 0.129
Sn 0.945 0.355 0.857
Sn 0.090 0.645 0.643
Sn 0.410 0.355 0.143
Sn 0.658 0.000 0.629
Sn 0.555 0.645 0.357
Sn 0.158 0.000 0.871
Sn 0.445 0.355 0.643
Sn 0.590 0.645 0.857
Sn 0.342 0.000 0.371

Calculated values
Crystal system: orthorhombic
Uncorrected energy (Ha/atom): -0.1457



7.
A relaxed Sn3Au5Se12 crystal, computed with PBE.

Lattice parameters (Å, degrees): 13.975 13.975 13.975 109.47 109.47 109.47
Positions (direct):
Se 0.574 0.863 0.404
Se 0.074 0.170 0.210
Se 0.541 0.210 0.137
Se 0.596 0.637 0.426
Se 0.541 0.330 0.904
Se 0.637 0.596 0.926
Se 0.426 0.290 0.330
Se 0.904 0.830 0.541
Se 0.210 0.541 0.637
Se 0.459 0.670 0.096
Se 0.363 0.404 0.074
Se 0.904 0.074 0.863
Se 0.830 0.926 0.290
Se 0.959 0.363 0.290
Se 0.596 0.959 0.670
Se 0.863 0.574 0.904
Se 0.926 0.096 0.637
Se 0.290 0.863 0.959
Se 0.574 0.710 0.670
Se 0.210 0.670 0.074
Se 0.170 0.096 0.959
Se 0.137 0.710 0.541
Se 0.670 0.459 0.596
Se 0.830 0.904 0.041
Se 0.459 0.790 0.863
Se 0.670 0.210 0.574
Se 0.041 0.404 0.830
Se 0.926 0.830 0.790
Se 0.710 0.137 0.041
Se 0.330 0.790 0.426
Se 0.137 0.426 0.096
Se 0.710 0.574 0.170
Se 0.170 0.074 0.710
Se 0.959 0.596 0.170
Se 0.330 0.541 0.404
Se 0.096 0.170 0.459
Se 0.426 0.137 0.596
Se 0.404 0.363 0.574
Se 0.637 0.041 0.210
Se 0.074 0.904 0.363
Se 0.790 0.459 0.363
Se 0.404 0.041 0.330
Se 0.790 0.330 0.926
Se 0.363 0.959 0.790
Se 0.290 0.426 0.830
Se 0.863 0.290 0.459
Se 0.041 0.637 0.710
Se 0.096 0.926 0.137
Au 0.000 0.000 0.500
Au 0.375 0.125 0.750
Au 0.000 0.500 0.500
Au 0.875 0.250 0.625
Au 0.625 0.750 0.875
Au 0.750 0.125 0.875
Au 0.000 0.000 0.000
Au 0.875 0.625 0.750
Au 0.125 0.750 0.375
Au 0.125 0.375 0.250
Au 0.500 0.500 0.500
Au 0.750 0.625 0.375
Au 0.500 0.500 0.000
Au 0.500 0.000 0.500
Au 0.375 0.250 0.125
Au 0.250 0.375 0.625
Au 0.250 0.875 0.125
Au 0.625 0.875 0.250
Au 0.500 0.000 0.000
Au 0.000 0.500 0.000
Sn 0.125 0.875 0.750
Sn 0.375 0.750 0.625
Sn 0.125 0.250 0.875
Sn 0.750 0.875 0.625
Sn 0.250 0.625 0.875
Sn 0.750 0.375 0.125
Sn 0.625 0.375 0.750
Sn 0.875 0.750 0.125
Sn 0.250 0.125 0.375
Sn 0.875 0.125 0.250
Sn 0.375 0.625 0.250
Sn 0.625 0.250 0.375

Calculated values
Crystal system: cubic
Uncorrected energy (Ha/atom): -0.1276



8.
A relaxed Sn4AuSe4 crystal, computed with PBE.

Lattice parameters (Å, degrees): 7.926 9.350 8.655 140.59 121.53 85.54
Positions (direct):
Au 0.962 0.013 0.991
Se 0.485 0.074 0.062
Se 0.000 0.566 0.048
Se 0.726 0.707 0.395
Se 0.316 0.273 0.564
Sn 0.642 0.560 0.708
Sn 0.317 0.808 0.150
Sn 0.141 0.056 0.687
Sn 0.910 0.442 0.395

Calculated values
Crystal system: triclinic
Uncorrected energy (Ha/atom): -0.1459



9.
A relaxed SnAuSe2 crystal, computed with PBE.

Lattice parameters (Å, degrees): 4.526 4.526 6.804 90.00 90.00 120.00
Positions (direct):
Sn 0.667 0.333 0.513
Se 0.000 0.000 0.377
Se 0.667 0.333 0.910
Au 0.000 0.000 0.950

Calculated values
Crystal system: trigonal
Uncorrected energy (Ha/atom): -0.1341



10.
A relaxed Sn5AuSe4 crystal, computed with PBE.

Lattice parameters (Å, degrees): 4.231 4.231 15.218 97.99 97.99 90.00
Positions (direct):
Sn 0.904 0.904 0.808
Sn 0.300 0.300 0.600
Sn 0.096 0.096 0.192
Sn 0.500 0.500 0.000
Sn 0.700 0.700 0.400
Se 0.601 0.601 0.203
Se 0.803 0.803 0.606
Se 0.197 0.197 0.394
Se 0.399 0.399 0.797
Au 0.000 0.000 0.000

Calculated values
Crystal system: tetragonal
Uncorrected energy (Ha/atom): -0.1501